No. 1
Material: AlCo2Mo
Method: DFT, GGA-PBEsol
State: relaxed

Summary:
Formation energy from the elements: -0.32 eV/atom

```
4
Lattice="2.685 0.000 0.000 0.000 2.685 0.000 0.000 0.000 6.558" Properties=species:S:1:pos:R:3 pbc="T T T"
Mo 1.343 1.343 0.000
Co 0.000 0.000 4.801
Co 0.000 0.000 1.757
Al 1.343 1.343 3.279
```



No. 2
Material: Al2CoMo
Method: DFT, GGA-PBEsol
State: relaxed

Summary:
E above lowest polymorph: 59 meV per atom
Formation energy from the elements: -0.12 eV/atom

```
4
Lattice="2.731 0.000 -0.010 0.000 4.061 0.000 -1.343 0.000 4.886" Properties=species:S:1:pos:R:3 pbc="T T T"
Al 1.204 2.031 1.233
Mo -0.156 2.031 3.546
Co 1.203 0.000 2.459
Al 2.562 0.000 0.066
```



No. 3
Material: AlCo2Mo
Method: DFT, GGA-PBEsol
State: relaxed

Summary:
Formation energy from the elements: -0.15 eV/atom

```
4
Lattice="-0.738 -2.569 0.266 3.652 -1.235 -1.791 1.835 -0.130 3.832" Properties=species:S:1:pos:R:3 pbc="T T T"
Al -0.369 -1.285 0.133
Mo 2.374 -1.967 1.154
Co 1.826 -0.617 -0.895
Co 0.918 -0.065 1.916
```



No. 4
Material: AlCo2Mo
Method: DFT, GGA-PBEsol
State: relaxed

Summary:
Formation energy from the elements: -0.13 eV/atom

```
4
Lattice="-1.834 1.503 2.633 -2.992 -0.396 -1.858 1.875 -4.021 1.217" Properties=species:S:1:pos:R:3 pbc="T T T"
Co -1.186 -0.982 2.119
Co 0.000 0.000 0.000
Al -1.765 -1.931 -0.127
Mo -2.413 0.554 0.388
```



No. 5
Material: Al2CoMo
Method: DFT, GGA-PBEsol
State: relaxed

Summary:
E above lowest polymorph: 42 meV per atom
Formation energy from the elements: -0.14 eV/atom

```
4
Lattice="-0.688 -2.301 -1.212 2.606 0.740 -2.882 3.828 -1.599 3.050" Properties=species:S:1:pos:R:3 pbc="T T T"
Al 0.681 -1.135 0.324
Co 0.959 -0.781 -2.047
Mo 3.217 -0.430 0.084
Al 2.459 -2.765 1.514
```



No. 6
Material: AlCoMo2
Method: DFT, GGA-PBEsol
State: relaxed

Summary:
Formation energy from the elements: -0.13 eV/atom

```
4
Lattice="-1.996 -1.767 0.268 1.778 -1.924 0.558 -0.495 1.669 7.328" Properties=species:S:1:pos:R:3 pbc="T T T"
Al -0.264 0.892 3.914
Mo -0.239 -1.407 2.340
Co -0.475 -0.611 5.833
Mo -0.477 1.608 7.060
```



No. 7
Material: Al2CoMo
Method: DFT, GGA-PBEsol
State: relaxed

Summary:
E above lowest polymorph: 0 meV per atom
Formation energy from the elements: -0.18 eV/atom

```
4
Lattice="2.959 0.000 0.000 0.000 2.959 0.000 0.000 0.000 6.120" Properties=species:S:1:pos:R:3 pbc="T T T"
Al 1.479 1.479 1.735
Al 0.000 0.000 0.011
Mo 1.479 1.479 4.503
Co 0.000 0.000 2.932
```



No. 8
Material: AlCo2Mo
Method: DFT, GGA-PBEsol
State: relaxed

Summary:
Formation energy from the elements: -0.17 eV/atom

```
4
Lattice="-2.457 -0.725 -0.719 1.595 -1.936 -3.497 0.122 -3.230 2.841" Properties=species:S:1:pos:R:3 pbc="T T T"
Co 0.798 -0.968 -1.749
Al -0.370 -2.946 -0.688
Mo -1.229 -0.363 -0.360
Co 0.061 -1.615 1.421
```



No. 9
Material: AlCo6Mo
Method: DFT, GGA-PBEsol
State: relaxed

Summary:
Formation energy from the elements: -0.15 eV/atom

```
32
Lattice="6.084 -0.009 0.000 -2.038 5.733 0.000 0.000 0.000 9.949" Properties=species:S:1:pos:R:3 pbc="T T T"
Co 2.028 0.715 3.735
Co -0.012 4.300 2.491
Co 2.008 4.997 8.702
Co 0.000 0.000 0.000
Co -0.002 2.150 6.214
Co 2.023 2.862 0.000
Co 4.048 3.573 3.735
Co 4.058 1.423 7.458
Mo -0.034 4.316 4.975
Al 4.095 1.397 0.000
Co 2.023 2.862 4.975
Al 2.023 2.862 2.481
Co 4.041 3.560 1.247
Co 4.058 1.423 2.491
Co -0.012 4.300 7.458
Mo 4.080 1.408 4.975
Co 4.048 3.573 6.214
Co 0.000 0.000 4.975
Co -0.002 2.150 3.735
Al 2.023 2.862 7.468
Co 2.038 0.726 1.247
Mo 0.000 0.000 7.516
Co 2.008 4.997 1.247
Co 2.038 0.726 8.702
Co 2.018 5.008 3.735
Co 0.005 2.163 8.702
Al -0.049 4.327 0.000
Mo 0.000 0.000 2.433
Co 4.041 3.560 8.702
Co 2.028 0.715 6.214
Co 0.005 2.163 1.247
Co 2.018 5.008 6.214
```



No. 10
Material: AlCoMo2
Method: DFT, GGA-PBEsol
State: relaxed

Summary:
Formation energy from the elements: -0.05 eV/atom

```
4
Lattice="-1.240 -2.232 0.779 3.396 -2.079 -0.549 1.349 0.931 4.817" Properties=species:S:1:pos:R:3 pbc="T T T"
Mo 1.005 0.694 3.592
Al 1.078 -2.155 0.115
Co 1.752 -1.690 2.524
Mo 0.343 0.237 1.225
```